RbNaThSe3 GGA-PBE relaxed; uncorrected energy = -4.816 eV/atom; calculated volume = 390 Å³ per cell; density = 4.91 g cm⁻³
1.0
2.2336 -7.5546 0.0000
2.2336 7.5546 0.0000
0.0000 0.0000 11.5632
Rb Na Th Se
2 2 2 6
Cartesian
2.2336 4.1213 8.6724
2.2336 -4.1213 2.8908
2.2336 6.7094 2.8908
2.2336 -6.7094 8.6724
2.2336 0.0000 0.0000
2.2336 0.0000 5.7816
2.2336 5.6614 0.3531
2.2336 5.6614 5.4285
2.2336 0.7561 2.8908
2.2336 -0.7561 8.6724
2.2336 -5.6614 6.1347
2.2336 -5.6614 11.2101